Compound: BaScTc2
Source: the Alexandria database
Functional: PBE
Structure: relaxed

Output
Total energy = -6.30 eV/atom
Formation energy from the elements = 0.94 eV per atom
Crystal system = orthorhombic
Total magnetization = 0.0 μB/f.u.

Cell: 3.3589 5.2278 4.5758 Å, 90.00 90.00 90.00°
Fractional coordinates of all 4 atoms:
1 Tc 0.5000 0.5000 0.0000
2 Tc 0.0000 0.0000 0.0000
3 Ba 0.5000 0.0000 0.5000
4 Sc 0.0000 0.5000 0.5000

=====

Compound: K4RbNa3
Source: the Alexandria database
Functional: PBE
Structure: relaxed

Output
Total energy = -1.14 eV/atom
Formation energy from the elements = 0.03 eV per atom
Crystal system = orthorhombic
Total magnetization = 0.0 μB/f.u.

Cell: 6.2904 12.0675 12.6038 Å, 90.00 90.00 90.00°
Fractional coordinates of all 16 atoms:
1 Na 0.0000 0.0000 0.5000
2 Na 0.0000 0.0000 0.0000
3 Na 0.5012 0.5000 0.2500
4 Na 0.5009 0.0000 0.7500
5 Na 0.4988 0.5000 0.7500
6 Na 0.4991 0.0000 0.2500
7 K 0.9999 0.2236 0.7500
8 K 0.5000 0.7763 0.0000
9 K 0.5000 0.2237 0.5000
10 K 0.0001 0.2236 0.2500
11 K 0.5000 0.2237 0.0000
12 K 0.0001 0.7764 0.2500
13 K 0.5000 0.7763 0.5000
14 K 0.9999 0.7764 0.7500
15 Rb 0.0000 0.5000 0.0000
16 Rb 0.0000 0.5000 0.5000

=====

Compound: CeDy2Au4
Source: the Alexandria database
Functional: PBE
Structure: relaxed

Output
Total energy = -4.64 eV/atom
Formation energy from the elements = -0.60 eV per atom
Crystal system = tetragonal
Total magnetization = 0.9 μB/f.u.

Cell: 6.1636 6.1636 6.1636 Å, 111.68 108.38 108.38°
Last column: magnetic moment on the atom in μB.
Fractional coordinates of all 7 atoms:
1 Au 0.5000 0.0000 0.0000  0.00
2 Au 0.5000 0.5000 0.5000  0.00
3 Au 0.0000 0.0000 0.5000  0.00
4 Au 0.0000 0.5000 0.0000  0.00
5 Dy 0.5000 0.5000 0.0000  0.00
6 Dy 0.5000 0.0000 0.5000  0.00
7 Ce 0.0000 0.0000 0.0000  0.76

=====

Compound: OsRu2Rh4
Source: the Alexandria database
Functional: PBE
Structure: relaxed

Output
Total energy = -7.81 eV/atom
Formation energy from the elements = 0.65 eV per atom
Crystal system = orthorhombic
Total magnetization = 1.0 μB/f.u.

Cell: 2.6623 4.2025 10.8975 Å, 101.12 90.00 90.00°
Last column: magnetic moment on the atom in μB.
Fractional coordinates of all 7 atoms:
1 Rh 0.0000 0.7148 0.4297  -0.02
2 Rh 0.5000 0.3988 0.7976  0.05
3 Rh 0.0000 0.2852 0.5703  -0.02
4 Rh 0.5000 0.6012 0.2024  0.05
5 Ru 0.5000 0.8287 0.6574  -0.04
6 Ru 0.5000 0.1713 0.3426  -0.04
7 Os 0.0000 0.5000 0.0000  0.90

=====

What is the formation energy from the elements in the first record? 0.94 eV per atom

=====

What is the total magnetization in the fourth record? 1.0 μB/f.u.

=====

What is the formula in the fourth record? OsRu2Rh4

=====

Which formula does entry 1 have? BaScTc2